Entry a
First-principles (GGA-PBE) data for crystalline TmHfCdC at its relaxed geometry, as listed in OQMD via LeMat-Bulk.

## Properties
- spin magnetization (μB per cell) = 0.04

abc: 3.3778 3.3778 15.6677
angles: 90.00 90.00 120.00
Last column: nearest neighbours and their distance in Å.
Atoms (fractional coordinates):
C (0.0000, 0.0000, 0.2353)  3 Hf 2.25, 3 Tm 2.44
C (0.0000, 0.0000, 0.7647)  3 Hf 2.25, 3 Tm 2.44
Cd (0.6667, 0.3333, 0.0000)  6 Hf 3.22, 6 Cd 3.38
Cd (0.3333, 0.6667, 0.5000)  6 Tm 3.32, 6 Cd 3.38
Hf (0.3333, 0.6667, 0.1633)  3 C 2.25
Hf (0.3333, 0.6667, 0.8367)  3 C 2.25
Tm (0.6667, 0.3333, 0.3287)  3 C 2.44
Tm (0.6667, 0.3333, 0.6713)  3 C 2.44



Entry b
First-principles (GGA-PBE) data for crystalline TmHfCdC at its relaxed geometry, as listed in OQMD via LeMat-Bulk.

## Properties
- spin magnetization (μB per cell) = 0.35

abc: 3.3804 3.3804 15.7579
angles: 90.00 90.00 120.00
Last column: nearest neighbours and their distance in Å.
Atoms (fractional coordinates):
C (0.0000, 0.0000, 0.0000)  6 Tm 2.38
C (0.0000, 0.0000, 0.5000)  6 Hf 2.29
Cd (0.6667, 0.3333, 0.2644)  3 Hf 3.18, 6 Cd 3.38, 3 Tm 3.42
Cd (0.3333, 0.6667, 0.7356)  3 Hf 3.18, 6 Cd 3.38, 3 Tm 3.42
Hf (0.3333, 0.6667, 0.4234)  3 C 2.29
Hf (0.6667, 0.3333, 0.5766)  3 C 2.29
Tm (0.3333, 0.6667, 0.0859)  3 C 2.38
Tm (0.6667, 0.3333, 0.9141)  3 C 2.38



The most stable structure shown above is entry a; the least stable is entry b.